Entry 1:
Computed, not measured: a relaxed LiPmTlHg crystal at the PBE level of DFT.

extended XYZ file:
```
4
Lattice="0.000 3.662 3.662 3.662 0.000 3.662 3.662 3.662 0.000" Properties=species:S:1:pos:R:3 pbc="T T T"
Li 1.831 1.831 1.831
Tl 0.000 0.000 0.000
Pm 5.493 5.493 5.493
Hg 3.662 3.662 3.662
```

Summary:
Symmetry ... No. 216
Final energy ... -2.739 eV/atom


Entry 2:
Computed, not measured: a relaxed LiPrHg crystal at the PBE level of DFT.

extended XYZ file:
```
3
Lattice="0.000 3.542 3.542 3.542 0.000 3.542 3.542 3.542 0.000" Properties=species:S:1:pos:R:3 pbc="T T T"
Li 1.771 1.771 1.771
Hg 0.000 0.000 0.000
Pr 5.313 5.313 5.313
```

Summary:
Symmetry ... No. 216
Final energy ... -2.458 eV/atom


Entry 3:
Computed, not measured: a relaxed LiPrHgS3 crystal at the PBE level of DFT.

extended XYZ file:
```
24
Lattice="10.894 0.000 0.000 0.000 4.135 0.000 0.000 0.000 12.815" Properties=species:S:1:pos:R:3 pbc="T T T"
Li 1.782 1.034 7.491
Li 9.112 3.101 5.325
Li 3.665 3.101 1.083
Li 7.229 1.034 11.732
S 1.682 3.101 5.413
S 3.960 1.034 2.567
S 6.465 3.101 4.997
S 7.129 3.101 0.995
S 3.765 1.034 11.820
S 9.876 1.034 11.405
S 9.407 1.034 3.841
S 4.429 1.034 7.818
S 1.018 3.101 1.411
S 1.487 3.101 8.974
S 9.213 1.034 7.403
S 6.934 3.101 10.249
Pr 4.179 3.101 9.801
Pr 6.716 1.034 3.014
Pr 9.626 3.101 9.422
Pr 1.268 1.034 3.393
Hg 6.829 1.034 7.770
Hg 4.065 3.101 5.046
Hg 1.382 1.034 11.453
Hg 9.512 3.101 1.362
```

Summary:
Symmetry ... No. 62
Final energy ... -4.402 eV/atom


Question: The lowest final energy belongs to which entry?
Answer: LiPrHgS3


Question: Which of these has the highest final energy?
Answer: LiPrHg


Question: Which formula does entry 2 have?
Answer: LiPrHg


Question: What is the final energy in the second record?
Answer: -2.458 eV/atom